Record 1
First-principles (PBE with a Hubbard U) data for a relaxed structure of KCoPO2, as listed in Alexandria.

a = 4.423 Å, b = 4.423 Å, c = 6.586 Å
α = 90.00°, β = 90.00°, γ = 90.00°
Positions (direct):
P (0.000, 0.000, 0.500)
K (0.000, 0.000, 0.000)
Co (0.500, 0.500, 0.500)
O (0.000, 0.500, 0.000)
O (0.500, 0.000, 0.000)

Results
Energy relative to the lowest polymorph listed for this composition (eV/f.u.): 7.24



Record 2
First-principles (PBE with a Hubbard U) data for a relaxed structure of K4Ti3CoP6O24, as listed in Alexandria.

a = 9.994 Å, b = 10.005 Å, c = 10.010 Å
α = 90.10°, β = 90.00°, γ = 90.00°
Positions (direct):
K (0.950, 0.444, 0.715)
K (0.318, 0.178, 0.568)
K (0.818, 0.822, 0.432)
K (0.450, 0.556, 0.285)
K (0.044, 0.041, 0.194)
K (0.688, 0.308, 0.061)
K (0.188, 0.692, 0.939)
K (0.544, 0.959, 0.806)
Ti (0.611, 0.609, 0.642)
Ti (0.161, 0.842, 0.589)
Ti (0.661, 0.158, 0.411)
Ti (0.111, 0.391, 0.358)
Ti (0.837, 0.666, 0.088)
Ti (0.337, 0.334, 0.912)
Co (0.394, 0.895, 0.143)
Co (0.894, 0.105, 0.857)
P (0.619, 0.289, 0.722)
P (0.290, 0.528, 0.629)
P (0.978, 0.127, 0.540)
P (0.478, 0.873, 0.460)
P (0.790, 0.472, 0.371)
P (0.119, 0.711, 0.278)
P (0.373, 0.207, 0.227)
P (0.707, 0.978, 0.126)
P (0.030, 0.384, 0.043)
P (0.530, 0.616, 0.957)
P (0.207, 0.022, 0.874)
P (0.873, 0.793, 0.773)
O (0.220, 0.961, 0.729)
O (0.660, 0.440, 0.725)
O (0.780, 0.689, 0.700)
O (0.010, 0.779, 0.699)
O (0.990, 0.177, 0.683)
O (0.244, 0.673, 0.653)
O (0.602, 0.249, 0.573)
O (0.437, 0.525, 0.579)
O (0.553, 0.774, 0.556)
O (0.049, 0.990, 0.515)
O (0.201, 0.455, 0.525)
O (0.331, 0.890, 0.506)
O (0.831, 0.110, 0.494)
O (0.701, 0.545, 0.475)
O (0.549, 0.010, 0.485)
O (0.053, 0.226, 0.444)
O (0.937, 0.475, 0.421)
O (0.102, 0.751, 0.427)
O (0.744, 0.327, 0.347)
O (0.490, 0.823, 0.317)
O (0.510, 0.221, 0.301)
O (0.280, 0.311, 0.300)
O (0.160, 0.560, 0.275)
O (0.720, 0.039, 0.271)
O (0.772, 0.549, 0.238)
O (0.314, 0.069, 0.236)
O (0.220, 0.793, 0.201)
O (0.979, 0.732, 0.212)
O (0.028, 0.334, 0.192)
O (0.749, 0.826, 0.142)
O (0.396, 0.254, 0.081)
O (0.564, 0.988, 0.074)
O (0.455, 0.712, 0.046)
O (0.962, 0.523, 0.034)
O (0.808, 0.053, 0.041)
O (0.679, 0.596, 0.998)
O (0.179, 0.404, 0.002)
O (0.308, 0.947, 0.959)
O (0.462, 0.477, 0.966)
O (0.955, 0.288, 0.954)
O (0.064, 0.012, 0.926)
O (0.896, 0.746, 0.919)
O (0.249, 0.174, 0.858)
O (0.528, 0.666, 0.808)
O (0.479, 0.268, 0.788)
O (0.720, 0.207, 0.799)
O (0.814, 0.931, 0.764)
O (0.272, 0.451, 0.762)

Results
E (eV per atom): -7.295